Record 1
The following is a DFT calculation (PBE-GGA) of a relaxed RbTbSe2O8 crystal.

a b c (Å): 5.549 5.549 8.716
angles (deg): 90.00 90.00 120.00
Positions (direct):
Rb (0.000, 0.000, 0.000)
Tb (0.000, 0.000, 0.500)
Se (0.667, 0.333, 0.271)
Se (0.333, 0.667, 0.729)
O (0.333, 0.667, 0.917)
O (0.355, 0.265, 0.338)
O (0.735, 0.090, 0.338)
O (0.667, 0.333, 0.083)
O (0.265, 0.910, 0.662)
O (0.645, 0.735, 0.662)
O (0.090, 0.355, 0.662)
O (0.910, 0.645, 0.338)

Results
The density of states at the Fermi level is 0.00 states/eV per atom. Its crystal system is trigonal. The calculation puts the uncorrected formation energy at -1797 kJ/mol of formula units.

=====

Record 2
The following is a DFT calculation (PBE-GGA) of a relaxed KRbO crystal.

a b c (Å): 3.958 3.958 14.807
angles (deg): 90.00 90.00 120.00
Last column: magnetic moment on the atom in μB.
Positions (direct):
O (0.000, 0.000, 0.000)  0.09
O (0.333, 0.667, 0.500)  0.09
Rb (0.000, 0.000, 0.395)  0.00
Rb (0.000, 0.000, 0.605)  0.00
K (0.333, 0.667, 0.905)  0.00
K (0.333, 0.667, 0.095)  0.00

Results
The density of states at the Fermi level is 1.03 states/eV per atom. Its crystal system is hexagonal. The calculation puts the uncorrected formation energy at -234 kJ/mol of formula units.

=====

Record 3
The following is a DFT calculation (PBE-GGA) of a relaxed Zn6CuPd12 crystal.

a b c (Å): 6.979 6.979 6.979
angles (deg): 104.97 104.97 104.97
Positions (direct):
Zn (0.842, 0.842, 0.575)
Zn (0.425, 0.158, 0.158)
Zn (0.158, 0.425, 0.158)
Zn (0.158, 0.158, 0.425)
Zn (0.575, 0.842, 0.842)
Zn (0.842, 0.575, 0.842)
Cu (0.000, 0.000, 0.000)
Pd (0.804, 0.440, 0.440)
Pd (0.440, 0.804, 0.440)
Pd (0.440, 0.440, 0.804)
Pd (0.196, 0.560, 0.560)
Pd (0.560, 0.196, 0.560)
Pd (0.560, 0.560, 0.196)
Pd (0.000, 0.740, 0.260)
Pd (0.260, 0.740, 0.000)
Pd (0.740, 0.000, 0.260)
Pd (0.000, 0.260, 0.740)
Pd (0.740, 0.260, 0.000)
Pd (0.260, 0.000, 0.740)

Results
The formation energy from the elements comes out at -207 meV/atom. The density of states at the Fermi level is 0.39 states/eV per atom. Its crystal system is trigonal.

=====

| no. | ρ (g/cm³) |
| --- | --- |
| 1 | 3.79 |
| 2 | 2.32 |
| 3 | 9.67 |